Record 1
First-principles (PBE-GGA) data for a geometry-optimized LiGa5Rh structure, as listed in Alexandria.

Unit cell a=4.469 b=4.469 c=5.835 alpha=90.00 beta=90.00 gamma=90.00
Space group P4/mmm (No. 123)
One atom of each set of equivalent atoms:
Li 0.000 0.000 0.000 [1 per cell]
Ga 0.000 0.500 0.272 [4 per cell]
Ga 0.500 0.500 0.000 [1 per cell]
Rh 0.000 0.000 0.500 [1 per cell]

Properties
- E_form (meV per atom) = -351
- magnetic moment (μB per cell) = 0.0
- uncorrected energy (eV/atom) = -3.84

=====

Record 2
First-principles (PBE-GGA) data for a geometry-optimized LiGaRh structure, as listed in Alexandria.

Unit cell a=4.091 b=4.091 c=5.735 alpha=90.00 beta=90.00 gamma=90.00
Space group I-4m2 (No. 119)
One atom of each set of equivalent atoms:
Li 0.000 0.000 0.000 [2 per cell]
Ga 0.000 0.500 0.750 [2 per cell]
Rh 0.000 0.000 0.500 [2 per cell]

Properties
- E_form (meV per atom) = -296
- magnetic moment (μB per cell) = 0.0
- uncorrected energy (eV/atom) = -4.39

=====

Record 3
First-principles (PBE-GGA) data for a geometry-optimized Li2Ga5Rh2 structure, as listed in Alexandria.

Unit cell a=13.151 b=6.727 c=6.734 alpha=90.00 beta=90.00 gamma=90.00
Space group Cmce (No. 64)
One atom of each set of equivalent atoms:
Li 0.200 0.000 0.000 [8 per cell]
Ga 0.000 0.000 0.000 [4 per cell]
Ga 0.133 0.141 0.355 [16 per cell]
Rh 0.000 0.158 0.663 [8 per cell]

Properties
- E_form (meV per atom) = -273
- magnetic moment (μB per cell) = 0.0
- uncorrected energy (eV/atom) = -4.01

=====

Record 4
First-principles (PBE-GGA) data for a geometry-optimized Li3Ga2Rh structure, as listed in Alexandria.

Unit cell a=5.959 b=5.947 c=10.139 alpha=90.00 beta=106.84 gamma=90.00
Space group C2/c (No. 15)
One atom of each set of equivalent atoms:
Li 0.000 0.124 0.250 [4 per cell]
Li 0.163 0.375 0.075 [8 per cell]
Ga 0.178 0.125 0.604 [8 per cell]
Rh 0.000 0.375 0.750 [4 per cell]

Properties
- E_form (meV per atom) = -443
- magnetic moment (μB per cell) = 0.0
- uncorrected energy (eV/atom) = -3.63

=====

Record 5
First-principles (PBE-GGA) data for a geometry-optimized Li2Ga5Rh3 structure, as listed in Alexandria.

Unit cell a=9.018 b=12.093 c=5.562 alpha=90.00 beta=96.63 gamma=90.00
Space group C2/c (No. 15)
One atom of each set of equivalent atoms:
Li 0.123 0.239 0.117 [8 per cell]
Ga 0.000 0.037 0.250 [4 per cell]
Ga 0.118 0.341 0.596 [8 per cell]
Ga 0.232 0.452 0.011 [8 per cell]
Rh 0.000 0.470 0.250 [4 per cell]
Rh 0.145 0.137 0.616 [8 per cell]

Properties
- E_form (meV per atom) = -499
- magnetic moment (μB per cell) = 0.0
- uncorrected energy (eV/atom) = -4.60

=====

Record 6
First-principles (PBE-GGA) data for a geometry-optimized Li2Ga3Rh structure, as listed in Alexandria.

Unit cell a=3.992 b=11.844 c=3.622 alpha=90.00 beta=90.00 gamma=90.00
Space group Cmmm (No. 65)
One atom of each set of equivalent atoms:
Li 0.000 0.164 0.000 [4 per cell]
Ga 0.000 0.000 0.500 [2 per cell]
Ga 0.000 0.333 0.500 [4 per cell]
Rh 0.000 0.500 0.000 [2 per cell]

Properties
- E_form (meV per atom) = -415
- magnetic moment (μB per cell) = 0.0
- uncorrected energy (eV/atom) = -3.79

=====

Record 7
First-principles (PBE-GGA) data for a geometry-optimized LiGa2Rh2 structure, as listed in Alexandria.

Unit cell a=4.365 b=4.416 c=7.712 alpha=90.00 beta=105.11 gamma=90.00
Space group P2_1/m (No. 11)
One atom of each set of equivalent atoms:
Li 0.203 0.250 0.289 [2 per cell]
Ga 0.360 0.750 0.904 [2 per cell]
Ga 0.364 0.250 0.663 [2 per cell]
Rh 0.068 0.250 0.902 [2 per cell]
Rh 0.229 0.750 0.506 [2 per cell]

Properties
- E_form (meV per atom) = -499
- magnetic moment (μB per cell) = 0.0
- uncorrected energy (eV/atom) = -5.03

=====

Record 8
First-principles (PBE-GGA) data for a geometry-optimized LiGaRh structure, as listed in Alexandria.

Unit cell a=3.128 b=3.128 c=8.231 alpha=90.00 beta=90.00 gamma=90.00
Space group I4mm (No. 107)
One atom of each set of equivalent atoms:
Li 0.000 0.000 0.000 [2 per cell]
Ga 0.000 0.000 0.675 [2 per cell]
Rh 0.000 0.000 0.336 [2 per cell]

Properties
- E_form (meV per atom) = -498
- magnetic moment (μB per cell) = 0.0
- uncorrected energy (eV/atom) = -4.60

=====

Record 9
First-principles (PBE-GGA) data for a geometry-optimized LiGaRh2 structure, as listed in Alexandria.

Unit cell a=4.197 b=4.197 c=3.007 alpha=90.00 beta=90.00 gamma=90.00
Space group P4/mmm (No. 123)
One atom of each set of equivalent atoms:
Li 0.000 0.000 0.000 [1 per cell]
Ga 0.500 0.500 0.000 [1 per cell]
Rh 0.000 0.500 0.500 [2 per cell]

Properties
- E_form (meV per atom) = -487
- magnetic moment (μB per cell) = 0.0
- uncorrected energy (eV/atom) = -5.40

=====

Record 10
First-principles (PBE-GGA) data for a geometry-optimized LiGaRu2Rh structure, as listed in Alexandria.

Unit cell a=4.104 b=4.104 c=4.135 alpha=90.00 beta=90.00 gamma=90.00
Space group P4/mmm (No. 123)
One atom of each set of equivalent atoms:
Li 0.000 0.000 0.000 [1 per cell]
Ga 0.000 0.000 0.500 [1 per cell]
Ru 0.000 0.500 0.000 [2 per cell]
Rh 0.500 0.500 0.500 [1 per cell]

Properties
- E_form (meV per atom) = 852
- magnetic moment (μB per cell) = 1.4
- uncorrected energy (eV/atom) = -5.32

=====

Record 11
First-principles (PBE-GGA) data for a geometry-optimized LiGaRh2S structure, as listed in Alexandria.

Unit cell a=4.568 b=4.568 c=4.420 alpha=90.00 beta=90.00 gamma=90.00
Space group P4/mmm (No. 123)
One atom of each set of equivalent atoms:
Li 0.000 0.000 0.000 [1 per cell]
Ga 0.000 0.000 0.500 [1 per cell]
Rh 0.000 0.500 0.500 [2 per cell]
S 0.500 0.500 0.000 [1 per cell]

Properties
- formation energy from raw total energies (eV/f.u.) = 2.8
- magnetic moment (μB per cell) = 0.0
- uncorrected energy (eV/atom) = -4.19

=====

Question: What is the magnetic moment in the eighth record?
Answer: 0.0 μB per cell